(1)
The following is a PBE calculation of crystalline Ba2PaTc3O12 at its relaxed geometry, from Alexandria.

Formation energy without anion corrections ... -204.67 kJ/mol of atoms
Crystal system ... trigonal
E ... -7.8955 eV per atom

Lattice parameters (Å, degrees): 7.4617 7.4617 7.4617 58.67 58.67 58.67
Fractional positions:
Ba: 0.1478 0.1478 0.1478
Ba: 0.8522 0.8522 0.8522
Pa: 0.5000 0.5000 0.5000
Tc: 0.0000 0.5000 0.5000
Tc: 0.5000 0.0000 0.5000
Tc: 0.5000 0.5000 0.0000
O: 0.1366 0.5970 0.5970
O: 0.2039 0.2039 0.5747
O: 0.2039 0.5747 0.2039
O: 0.4030 0.4030 0.8634
O: 0.4030 0.8634 0.4030
O: 0.4253 0.7961 0.7961
O: 0.5747 0.2039 0.2039
O: 0.5970 0.1366 0.5970
O: 0.5970 0.5970 0.1366
O: 0.7961 0.4253 0.7961
O: 0.7961 0.7961 0.4253
O: 0.8634 0.4030 0.4030

=====

(2)
The following is a PBE calculation of crystalline BaPa2TcO8 at its relaxed geometry, from Alexandria.

Formation energy without anion corrections ... -269.83 kJ/mol of atoms
Crystal system ... monoclinic
E ... -8.7088 eV per atom

Lattice parameters (Å, degrees): 5.1227 7.2032 5.1297 90.00 92.44 90.00
Fractional positions:
Ba: 0.0000 0.0000 0.0000
Pa: 0.5000 0.2584 0.5000
Pa: 0.5000 0.7416 0.5000
Tc: 0.0000 0.5000 0.0000
O: 0.2027 0.3030 0.2075
O: 0.2027 0.6970 0.2075
O: 0.2932 0.5000 0.7103
O: 0.3423 0.0000 0.6680
O: 0.6577 0.0000 0.3320
O: 0.7068 0.5000 0.2897
O: 0.7973 0.3030 0.7925
O: 0.7973 0.6970 0.7925

=====

(3)
The following is a PBE calculation of crystalline Ba2Pa3TcO12 at its relaxed geometry, from Alexandria.

Formation energy without anion corrections ... -282.12 kJ/mol of atoms
Crystal system ... trigonal
E ... -8.6016 eV per atom

Lattice parameters (Å, degrees): 7.7515 7.7515 7.7515 62.27 62.27 62.27
Fractional positions:
Ba: 0.1766 0.1766 0.1766
Ba: 0.8234 0.8234 0.8234
Pa: 0.0000 0.5000 0.5000
Pa: 0.5000 0.0000 0.5000
Pa: 0.5000 0.5000 0.0000
Tc: 0.5000 0.5000 0.5000
O: 0.1709 0.1709 0.5358
O: 0.1709 0.5358 0.1709
O: 0.2050 0.5607 0.5607
O: 0.4393 0.4393 0.7950
O: 0.4393 0.7950 0.4393
O: 0.4642 0.8291 0.8291
O: 0.5358 0.1709 0.1709
O: 0.5607 0.2050 0.5607
O: 0.5607 0.5607 0.2050
O: 0.7950 0.4393 0.4393
O: 0.8291 0.4642 0.8291
O: 0.8291 0.8291 0.4642

=====

(4)
The following is a PBE calculation of crystalline BaPaTeO6 at its relaxed geometry, from Alexandria.

Formation energy without anion corrections ... -231.84 kJ/mol of atoms
Crystal system ... trigonal
E ... -7.3262 eV per atom

Lattice parameters (Å, degrees): 5.7914 5.7914 11.3495 90.00 90.00 120.00
Fractional positions:
Ba: 0.0000 0.0000 0.0000
Ba: 0.0000 0.0000 0.5000
Pa: 0.3333 0.6667 0.2500
Pa: 0.6667 0.3333 0.7500
Te: 0.3333 0.6667 0.7500
Te: 0.6667 0.3333 0.2500
O: 0.0173 0.3868 0.6500
O: 0.0173 0.6305 0.8500
O: 0.3695 0.3868 0.8500
O: 0.3695 0.9827 0.6500
O: 0.3868 0.0173 0.1500
O: 0.3868 0.3695 0.3500
O: 0.6132 0.6305 0.6500
O: 0.6132 0.9827 0.8500
O: 0.6305 0.0173 0.3500
O: 0.6305 0.6132 0.1500
O: 0.9827 0.3695 0.1500
O: 0.9827 0.6132 0.3500

=====

> Which of these has the lowest E?

BaPa2TcO8

=====

> The lowest E belongs to which entry?

BaPa2TcO8

=====

> Which value of formation energy without anion corrections does entry 1 give?

-204.67 kJ/mol of atoms

=====

> The lowest formation energy without anion corrections belongs to which entry?

Ba2Pa3TcO12